1.
Tb3PmHo5 | PBE-GGA | relaxed

Structure (POSCAR):
```
Tb3PmHo5
1.0
8.368 -3.987 0.000
8.368 3.987 0.000
-8.012 0.000 9.274
Tb Pm Ho
6 2 10
Cartesian
0.000 0.000 0.000
-4.524 0.000 7.533
4.141 0.000 1.461
4.362 0.000 4.637
4.583 0.000 7.813
13.249 0.000 1.741
1.437 0.000 3.449
7.287 0.000 5.825
4.362 2.551 4.637
-1.214 0.000 5.289
1.525 1.632 6.676
7.199 1.632 2.598
-1.184 0.000 8.659
9.908 0.000 0.614
1.525 -1.632 6.676
7.199 -1.632 2.598
9.938 0.000 3.985
4.362 -2.551 4.637
```

* final energy: -4.20 eV/atom
* calculated formation energy: 9.5 kcal/mol of atoms
* distance to the lowest polymorph of the same formula: 91 meV/atom
* calculated density: 7.763 g/cm3
* symmetry: C2/m


2.
Tb2PmHo3 | PBE-GGA | relaxed

Structure (POSCAR):
```
Tb2PmHo3
1.0
5.360 -3.094 0.000
5.360 3.094 0.000
0.000 0.000 11.509
Tb Pm Ho
4 2 6
Cartesian
3.575 2.060 5.755
7.145 2.060 5.755
3.575 -2.060 0.000
7.145 -2.060 0.000
5.360 1.030 0.003
5.360 -1.030 5.757
5.360 3.085 8.633
3.566 0.009 2.879
3.566 -0.009 8.633
7.154 0.009 2.879
7.154 -0.009 8.633
5.360 -3.085 2.878
```

* final energy: -4.61 eV/atom
* calculated formation energy: 0.2 kcal/mol of atoms
* distance to the lowest polymorph of the same formula: 10 meV/atom
* calculated density: 8.333 g/cm3
* symmetry: Cmc2_1


3.
TbPm4Ho8 | PBE-GGA | relaxed

Structure (POSCAR):
```
TbPm4Ho8
1.0
3.691 2.131 8.965
-3.691 2.131 8.965
0.000 -4.262 8.965
Tb Pm Ho
1 4 8
Cartesian
0.000 0.000 0.000
-3.691 0.000 13.447
-1.845 1.065 4.482
1.845 1.065 4.482
0.000 0.000 13.447
0.000 -1.873 10.652
-1.622 0.937 10.652
0.000 0.000 7.595
-1.622 -0.937 16.243
1.622 0.937 10.652
0.000 0.000 19.300
1.622 -0.937 16.243
0.000 1.873 16.243
```

* final energy: -4.43 eV/atom
* calculated formation energy: 4.8 kcal/mol of atoms
* calculated density: 8.079 g/cm3
* symmetry: R-3m


4.
Tb12Pm6Ho | PBE-GGA | relaxed

Structure (POSCAR):
```
Tb12Pm6Ho
1.0
6.015 3.473 5.056
-6.015 3.473 5.056
0.000 -6.946 5.056
Tb Pm Ho
12 6 1
Cartesian
-1.131 -1.721 2.895
-0.925 1.840 2.895
-1.420 -1.525 6.307
2.055 -0.119 2.895
-2.030 0.467 8.860
-0.611 1.992 6.307
0.611 -1.992 8.860
2.030 -0.467 6.307
-2.055 0.119 12.272
1.420 1.525 8.860
0.925 -1.840 12.272
1.131 1.721 12.272
-3.611 0.919 5.271
1.009 -3.587 5.271
-2.601 -2.667 9.896
2.601 2.667 5.271
-1.009 3.587 9.896
3.611 -0.919 9.896
0.000 0.000 0.000
```

* final energy: -4.52 eV/atom
* calculated formation energy: 3.4 kcal/mol of atoms
* distance to the lowest polymorph of the same formula: 0 meV/atom
* calculated density: 7.710 g/cm3
* symmetry: R-3


5.
Tb5PmHo3 | PBE-GGA | relaxed

Structure (POSCAR):
```
Tb5PmHo3
1.0
8.044 -3.346 0.000
8.044 3.346 0.000
-3.834 0.000 11.117
Tb Pm Ho
10 2 6
Cartesian
1.735 1.343 8.197
-0.683 0.340 10.569
5.168 2.002 8.338
1.234 -0.340 5.010
3.652 -1.343 2.638
8.602 1.343 8.479
11.020 0.340 6.107
7.085 -2.002 2.779
12.937 -0.340 0.549
10.519 -1.343 2.920
7.085 1.282 2.779
5.168 -1.282 8.338
0.000 0.000 0.000
-1.917 0.000 5.559
4.450 0.346 5.422
2.533 -0.346 10.981
9.720 0.346 0.137
7.803 -0.346 5.695
```

* final energy: -4.41 eV/atom
* calculated formation energy: 4.9 kcal/mol of atoms
* distance to the lowest polymorph of the same formula: 0 meV/atom
* calculated density: 7.960 g/cm3
* symmetry: C2/c


6.
TbPm2Ho2 | PBE-GGA | relaxed

Structure (POSCAR):
```
TbPm2Ho2
1.0
-2.290 2.290 8.213
2.290 -2.290 8.213
2.290 2.290 -8.213
Tb Pm Ho
1 2 2
Cartesian
0.000 0.000 0.000
2.290 0.000 4.107
0.000 2.290 4.107
0.000 0.000 6.683
0.000 0.000 9.744
```

* final energy: -4.29 eV/atom
* calculated formation energy: 8.5 kcal/mol of atoms
* distance to the lowest polymorph of the same formula: 349 meV/atom
* calculated density: 7.507 g/cm3
* symmetry: I4/mmm


7.
Tb3PmHo5 | PBE-GGA | relaxed

Structure (POSCAR):
```
Tb3PmHo5
1.0
8.616 -3.093 0.000
8.616 3.093 0.000
-0.145 0.000 11.208
Tb Pm Ho
6 2 10
Cartesian
0.000 0.000 0.000
-0.073 0.000 5.604
5.636 1.357 10.251
11.378 1.357 6.560
5.709 -1.357 4.647
11.451 -1.357 0.956
8.507 2.360 8.406
8.580 -2.360 2.802
5.626 1.847 2.826
5.678 1.393 6.588
11.534 1.847 2.778
8.580 0.564 2.802
11.337 1.393 10.223
5.751 -1.393 0.984
8.507 -0.564 8.406
5.553 -1.847 8.430
11.409 -1.393 4.620
11.461 -1.847 8.382
```

* final energy: -4.29 eV/atom
* calculated formation energy: 7.4 kcal/mol of atoms
* distance to the lowest polymorph of the same formula: 0 meV/atom
* calculated density: 8.042 g/cm3
* symmetry: C2/c


8.
TbPm8Ho4 | PBE-GGA | relaxed

Structure (POSCAR):
```
TbPm8Ho4
1.0
7.779 0.000 0.000
-0.034 7.868 0.000
-0.062 -0.018 7.884
Tb Pm Ho
1 8 4
Cartesian
0.000 0.000 0.000
1.978 2.048 2.068
1.948 2.051 5.847
1.932 5.799 5.833
1.974 5.832 2.071
5.709 2.018 5.813
5.751 2.050 2.051
5.735 5.798 2.037
5.705 5.802 5.815
-0.031 -0.009 3.942
-0.017 3.934 0.000
3.889 0.000 0.000
3.841 3.925 3.942
```

* final energy: -4.22 eV/atom
* calculated formation energy: 10.8 kcal/mol of atoms
* calculated density: 6.809 g/cm3
* symmetry: P-1


9.
Tb3Pm2Ho | PBE-GGA | relaxed

Structure (POSCAR):
```
Tb3Pm2Ho
1.0
8.399 -2.783 0.000
8.399 2.783 0.000
-0.339 0.000 8.467
Tb Pm Ho
6 4 2
Cartesian
1.285 0.000 3.337
4.159 0.000 1.317
4.477 0.000 4.983
11.982 0.000 3.484
12.300 0.000 7.150
15.174 0.000 5.130
1.494 0.000 7.097
6.488 0.000 7.699
9.971 0.000 0.768
14.965 0.000 1.370
7.302 0.000 2.921
9.156 0.000 5.546
```

* final energy: -4.58 eV/atom
* calculated formation energy: 2.0 kcal/mol of atoms
* distance to the lowest polymorph of the same formula: 23 meV/atom
* calculated density: 7.818 g/cm3
* symmetry: C2/m